(1)
The following is a GGA-PBE calculation of NdGdPdRh after structural relaxation, from Alexandria.

Output
Size of the total moment = 7.1 μB per formula unit

abc: 7.0848 7.0848 7.0848
angles: 90.00 90.00 90.00
Last column: nearest neighbours and their distance in Å.
Sites, in units of the cell vectors:
Nd  0.0000  0.0000  0.0000  4 Rh 3.07, 4 Pd 3.07
Nd  0.0000  0.5000  0.5000  4 Rh 3.07, 4 Pd 3.07
Nd  0.5000  0.0000  0.5000  4 Rh 3.07, 4 Pd 3.07
Nd  0.5000  0.5000  0.0000  4 Rh 3.07, 4 Pd 3.07
Gd  0.0000  0.0000  0.5000  4 Pd 3.07, 4 Rh 3.07
Gd  0.0000  0.5000  0.0000  4 Pd 3.07, 4 Rh 3.07
Gd  0.5000  0.0000  0.0000  4 Pd 3.07, 4 Rh 3.07
Gd  0.5000  0.5000  0.5000  4 Pd 3.07, 4 Rh 3.07
Pd  0.2500  0.2500  0.2500  4 Gd 3.07, 4 Nd 3.07
Pd  0.2500  0.7500  0.7500  4 Gd 3.07, 4 Nd 3.07
Pd  0.7500  0.2500  0.7500  4 Gd 3.07, 4 Nd 3.07
Pd  0.7500  0.7500  0.2500  4 Gd 3.07, 4 Nd 3.07
Rh  0.2500  0.2500  0.7500  4 Gd 3.07, 4 Nd 3.07
Rh  0.2500  0.7500  0.2500  4 Gd 3.07, 4 Nd 3.07
Rh  0.7500  0.2500  0.2500  4 Gd 3.07, 4 Nd 3.07
Rh  0.7500  0.7500  0.7500  4 Gd 3.07, 4 Nd 3.07

***

(2)
The following is a GGA-PBE calculation of NdGdPdRu after structural relaxation, from Alexandria.

Output
Size of the total moment = 7.1 μB per formula unit

abc: 7.0512 7.0512 7.0512
angles: 90.00 90.00 90.00
Last column: nearest neighbours and their distance in Å.
Sites, in units of the cell vectors:
Nd  0.0000  0.0000  0.0000  4 Ru 3.05, 4 Pd 3.05
Nd  0.0000  0.5000  0.5000  4 Ru 3.05, 4 Pd 3.05
Nd  0.5000  0.0000  0.5000  4 Ru 3.05, 4 Pd 3.05
Nd  0.5000  0.5000  0.0000  4 Ru 3.05, 4 Pd 3.05
Gd  0.0000  0.0000  0.5000  4 Ru 3.05, 4 Pd 3.05
Gd  0.0000  0.5000  0.0000  4 Ru 3.05, 4 Pd 3.05
Gd  0.5000  0.0000  0.0000  4 Ru 3.05, 4 Pd 3.05
Gd  0.5000  0.5000  0.5000  4 Ru 3.05, 4 Pd 3.05
Pd  0.2500  0.2500  0.2500  4 Gd 3.05, 4 Nd 3.05
Pd  0.2500  0.7500  0.7500  4 Gd 3.05, 4 Nd 3.05
Pd  0.7500  0.2500  0.7500  4 Gd 3.05, 4 Nd 3.05
Pd  0.7500  0.7500  0.2500  4 Gd 3.05, 4 Nd 3.05
Ru  0.2500  0.2500  0.7500  4 Gd 3.05, 4 Nd 3.05
Ru  0.2500  0.7500  0.2500  4 Gd 3.05, 4 Nd 3.05
Ru  0.7500  0.2500  0.2500  4 Gd 3.05, 4 Nd 3.05
Ru  0.7500  0.7500  0.7500  4 Nd 3.05, 4 Gd 3.05

***

(3)
The following is a GGA-PBE calculation of NdGdSnPd after structural relaxation, from Alexandria.

Output
Size of the total moment = 7.3 μB per formula unit

abc: 7.4524 7.4524 7.4524
angles: 90.00 90.00 90.00
Last column: nearest neighbours and their distance in Å.
Sites, in units of the cell vectors:
Nd  0.0000  0.0000  0.0000  4 Sn 3.23, 4 Pd 3.23
Nd  0.0000  0.5000  0.5000  4 Sn 3.23, 4 Pd 3.23
Nd  0.5000  0.0000  0.5000  4 Sn 3.23, 4 Pd 3.23
Nd  0.5000  0.5000  0.0000  4 Pd 3.23, 4 Sn 3.23
Gd  0.0000  0.0000  0.5000  4 Sn 3.23, 4 Pd 3.23
Gd  0.0000  0.5000  0.0000  4 Sn 3.23, 4 Pd 3.23
Gd  0.5000  0.0000  0.0000  4 Sn 3.23, 4 Pd 3.23
Gd  0.5000  0.5000  0.5000  4 Sn 3.23, 4 Pd 3.23
Sn  0.2500  0.2500  0.7500  4 Gd 3.23, 4 Nd 3.23
Sn  0.2500  0.7500  0.2500  4 Gd 3.23, 4 Nd 3.23
Sn  0.7500  0.2500  0.2500  4 Gd 3.23, 4 Nd 3.23
Sn  0.7500  0.7500  0.7500  4 Gd 3.23, 4 Nd 3.23
Pd  0.2500  0.2500  0.2500  4 Gd 3.23, 4 Nd 3.23
Pd  0.2500  0.7500  0.7500  4 Gd 3.23, 4 Nd 3.23
Pd  0.7500  0.2500  0.7500  4 Gd 3.23, 4 Nd 3.23
Pd  0.7500  0.7500  0.2500  4 Gd 3.23, 4 Nd 3.23

***

(4)
The following is a GGA-PBE calculation of NdGdTcPd after structural relaxation, from Alexandria.

Output
Size of the total moment = 7.0 μB per formula unit

abc: 7.0499 7.0499 7.0499
angles: 90.00 90.00 90.00
Last column: nearest neighbours and their distance in Å.
Sites, in units of the cell vectors:
Nd  0.0000  0.0000  0.0000  4 Tc 3.05, 4 Pd 3.05
Nd  0.0000  0.5000  0.5000  4 Tc 3.05, 4 Pd 3.05
Nd  0.5000  0.0000  0.5000  4 Tc 3.05, 4 Pd 3.05
Nd  0.5000  0.5000  0.0000  4 Tc 3.05, 4 Pd 3.05
Gd  0.0000  0.0000  0.5000  4 Tc 3.05, 4 Pd 3.05
Gd  0.0000  0.5000  0.0000  4 Tc 3.05, 4 Pd 3.05
Gd  0.5000  0.0000  0.0000  4 Tc 3.05, 4 Pd 3.05
Gd  0.5000  0.5000  0.5000  4 Tc 3.05, 4 Pd 3.05
Tc  0.2500  0.2500  0.2500  4 Gd 3.05, 4 Nd 3.05
Tc  0.2500  0.7500  0.7500  4 Gd 3.05, 4 Nd 3.05
Tc  0.7500  0.2500  0.7500  4 Gd 3.05, 4 Nd 3.05
Tc  0.7500  0.7500  0.2500  4 Gd 3.05, 4 Nd 3.05
Pd  0.2500  0.2500  0.7500  4 Nd 3.05, 4 Gd 3.05
Pd  0.2500  0.7500  0.2500  4 Nd 3.05, 4 Gd 3.05
Pd  0.7500  0.2500  0.2500  4 Nd 3.05, 4 Gd 3.05
Pd  0.7500  0.7500  0.7500  4 Nd 3.05, 4 Gd 3.05

***

(5)
The following is a GGA-PBE calculation of NdGdTlPd after structural relaxation, from Alexandria.

Output
Size of the total moment = 7.3 μB per formula unit

abc: 7.4730 7.4730 7.4730
angles: 90.00 90.00 90.00
Last column: nearest neighbours and their distance in Å.
Sites, in units of the cell vectors:
Nd  0.0000  0.0000  0.0000  4 Tl 3.24, 4 Pd 3.24
Nd  0.0000  0.5000  0.5000  4 Tl 3.24, 4 Pd 3.24
Nd  0.5000  0.0000  0.5000  4 Tl 3.24, 4 Pd 3.24
Nd  0.5000  0.5000  0.0000  4 Tl 3.24, 4 Pd 3.24
Gd  0.0000  0.0000  0.5000  4 Pd 3.24, 4 Tl 3.24
Gd  0.0000  0.5000  0.0000  4 Pd 3.24, 4 Tl 3.24
Gd  0.5000  0.0000  0.0000  4 Pd 3.24, 4 Tl 3.24
Gd  0.5000  0.5000  0.5000  4 Tl 3.24, 4 Pd 3.24
Tl  0.2500  0.2500  0.7500  4 Gd 3.24, 4 Nd 3.24
Tl  0.2500  0.7500  0.2500  4 Gd 3.24, 4 Nd 3.24
Tl  0.7500  0.2500  0.2500  4 Gd 3.24, 4 Nd 3.24
Tl  0.7500  0.7500  0.7500  4 Nd 3.24, 4 Gd 3.24
Pd  0.2500  0.2500  0.2500  4 Gd 3.24, 4 Nd 3.24
Pd  0.2500  0.7500  0.7500  4 Gd 3.24, 4 Nd 3.24
Pd  0.7500  0.2500  0.7500  4 Gd 3.24, 4 Nd 3.24
Pd  0.7500  0.7500  0.2500  4 Gd 3.24, 4 Nd 3.24

***

(6)
The following is a GGA-PBE calculation of PmNd2Gd after structural relaxation, from Alexandria.

Output
Size of the total moment = 8.9 μB per formula unit
Offset from the most stable computed form = 41 kJ/mol of formula units

abc: 8.2107 8.2107 8.2107
angles: 90.00 90.00 90.00
Last column: nearest neighbours and their distance in Å.
Sites, in units of the cell vectors:
Pm  0.0000  0.0000  0.0000  8 Nd 3.56
Pm  0.0000  0.5000  0.5000  8 Nd 3.56
Pm  0.5000  0.0000  0.5000  8 Nd 3.56
Pm  0.5000  0.5000  0.0000  8 Nd 3.56
Nd  0.2500  0.2500  0.2500  4 Gd 3.56, 4 Pm 3.56
Nd  0.2500  0.2500  0.7500  4 Pm 3.56, 4 Gd 3.56
Nd  0.2500  0.7500  0.2500  4 Pm 3.56, 4 Gd 3.56
Nd  0.2500  0.7500  0.7500  4 Gd 3.56, 4 Pm 3.56
Nd  0.7500  0.2500  0.2500  4 Pm 3.56, 4 Gd 3.56
Nd  0.7500  0.2500  0.7500  4 Gd 3.56, 4 Pm 3.56
Nd  0.7500  0.7500  0.2500  4 Gd 3.56, 4 Pm 3.56
Nd  0.7500  0.7500  0.7500  4 Pm 3.56, 4 Gd 3.56
Gd  0.0000  0.0000  0.5000  8 Nd 3.56
Gd  0.0000  0.5000  0.0000  8 Nd 3.56
Gd  0.5000  0.0000  0.0000  8 Nd 3.56
Gd  0.5000  0.5000  0.5000  8 Nd 3.56

***

(7)
The following is a GGA-PBE calculation of PmNd2Gd after structural relaxation, from Alexandria.

Output
Size of the total moment = 8.1 μB per formula unit
Offset from the most stable computed form = 57 kJ/mol of formula units

abc: 3.5712 3.5712 37.9251
angles: 90.00 90.00 120.00
Last column: nearest neighbours and their distance in Å.
Sites, in units of the cell vectors:
Pm  0.0000  0.0000  0.0000  6 Pm 3.57, 6 Nd 3.62
Pm  0.3333  0.6667  0.6667  6 Pm 3.57, 6 Nd 3.62
Pm  0.6667  0.3333  0.3333  6 Pm 3.57, 6 Nd 3.62
Nd  0.0000  0.0000  0.4118  1 Gd 3.34, 6 Nd 3.57, 3 Pm 3.62
Nd  0.0000  0.0000  0.5882  1 Gd 3.34, 6 Nd 3.57, 3 Pm 3.62
Nd  0.3333  0.6667  0.0785  1 Gd 3.34, 6 Nd 3.57, 3 Pm 3.62
Nd  0.3333  0.6667  0.2548  1 Gd 3.34, 6 Nd 3.57, 3 Pm 3.62
Nd  0.6667  0.3333  0.7452  1 Gd 3.34, 6 Nd 3.57, 3 Pm 3.62
Nd  0.6667  0.3333  0.9215  1 Gd 3.34, 6 Nd 3.57, 3 Pm 3.62
Gd  0.0000  0.0000  0.5000  2 Nd 3.34, 6 Gd 3.57
Gd  0.3333  0.6667  0.1667  2 Nd 3.34, 6 Gd 3.57
Gd  0.6667  0.3333  0.8333  2 Nd 3.34, 6 Gd 3.57

***

(8)
The following is a GGA-PBE calculation of PmNd2Gd after structural relaxation, from Alexandria.

Output
Size of the total moment = 7.3 μB per formula unit
Offset from the most stable computed form = 2 kJ/mol of formula units

abc: 3.6567 3.6567 10.2980
angles: 90.00 90.00 90.00
Last column: nearest neighbours and their distance in Å.
Sites, in units of the cell vectors:
Pm  0.0000  0.0000  0.0000  4 Pm 3.66, 8 Nd 3.66
Nd  0.5000  0.5000  0.2513  4 Gd 3.64, 4 Nd 3.66, 4 Pm 3.66
Nd  0.5000  0.5000  0.7487  4 Gd 3.64, 4 Nd 3.66, 4 Pm 3.66
Gd  0.0000  0.0000  0.5000  8 Nd 3.64, 4 Gd 3.66

***

Number 1: energy relative to the elements -0.75 eV per atom. Number 2: energy relative to the elements -0.50 eV per atom. Number 3: energy relative to the elements -0.70 eV per atom. Number 4: energy relative to the elements -0.24 eV per atom. Number 5: energy relative to the elements -0.50 eV per atom. Number 6: energy relative to the elements 0.12 eV per atom. Number 7: energy relative to the elements 0.16 eV per atom. Number 8: energy relative to the elements 0.02 eV per atom.